Record 1
MgTi2S2, relaxed, DFT PBE; space-group type = P4/mbm, No. 127; electronic total energy = -5.986 eV per atom
1.0
6.922 0.000 0.000
0.000 6.922 0.000
0.000 0.000 3.150
S Mg Ti
4 2 4
Direct
0.353 0.853 0.000
0.853 0.647 0.000
0.647 0.147 0.000
0.147 0.353 0.000
0.000 0.000 0.000
0.500 0.500 0.000
0.149 0.649 0.500
0.649 0.851 0.500
0.851 0.351 0.500
0.351 0.149 0.500

Record 2
KMn2Ag, relaxed, DFT PBE; space-group type = I-42d, No. 122; excess energy over the best structure of this formula in the dataset = 1.29 eV per formula unit
1.0
-1.073 -3.519 3.643
-0.984 -3.508 -3.678
7.982 -6.151 0.088
K Mn Ag
2 4 2
Direct
0.500 0.500 0.000
0.250 0.750 0.500
0.874 0.125 0.250
0.876 0.625 0.250
0.375 0.126 0.750
0.875 0.124 0.750
0.000 0.000 0.000
0.750 0.250 0.500

Record 3
Zr2N2O, relaxed, DFT PBE; space-group type = Pm, No. 6; electronic total energy = -9.688 eV per atom
1.0
3.154 0.000 0.000
0.000 8.528 0.013
0.000 0.058 8.598
Zr N O
8 8 4
Direct
0.000 0.173 0.999
0.000 0.498 0.191
0.500 0.006 0.317
0.500 0.682 0.496
0.000 0.323 0.515
0.000 0.002 0.681
0.500 0.497 0.813
0.500 0.816 0.996
0.000 0.942 0.125
0.500 0.446 0.379
0.000 0.870 0.449
0.500 0.132 0.542
0.000 0.562 0.625
0.000 0.308 0.771
0.500 0.055 0.877
0.000 0.628 0.959
0.500 0.366 0.050
0.500 0.682 0.225
0.000 0.201 0.262
0.500 0.811 0.728

Record 4
LiLa2AlF, relaxed, DFT PBE; space-group type = P4/mmm, No. 123; electronic total energy = -4.695 eV per atom
1.0
5.321 0.000 0.000
0.000 5.321 0.000
0.000 0.000 3.934
F Li Al La
1 1 1 2
Direct
0.000 0.000 0.000
0.000 0.000 0.500
0.500 0.500 0.500
0.000 0.500 0.000
0.500 0.000 0.000

Record 5
Li2LaHg2, relaxed, DFT PBE; space-group type = P4/mbm, No. 127; excess energy over the best structure of this formula in the dataset = 0.21 eV per formula unit
1.0
-1.426 1.562 7.979
5.911 -5.363 2.106
2.199 2.394 -0.076
Li Hg La
4 4 2
Direct
0.384 0.884 0.000
0.884 0.616 0.000
0.616 0.116 0.000
0.116 0.384 0.000
0.178 0.678 0.500
0.678 0.822 0.500
0.822 0.322 0.500
0.322 0.178 0.500
0.000 0.000 0.000
0.500 0.500 0.000

Record 6
Sc2Ta3NbN6, relaxed, DFT PBE; space-group type = C2/m, No. 12; electronic total energy = -10.357 eV per atom
1.0
5.451 -0.003 0.023
-2.726 4.720 0.023
-0.887 -1.535 5.108
Sc Ta Nb N
2 3 1 6
Direct
0.332 0.668 0.000
0.668 0.332 0.000
0.150 0.850 0.500
0.850 0.150 0.500
0.500 0.500 0.500
0.000 0.000 0.000
0.914 0.570 0.735
0.735 0.735 0.243
0.086 0.430 0.265
0.570 0.914 0.735
0.265 0.265 0.757
0.430 0.086 0.265

Record 7
LiGa2ReC, relaxed, DFT PBE; space-group type = P4/mmm, No. 123; electronic total energy = -5.287 eV per atom
1.0
-2.473 -3.577 -0.042
2.980 -2.041 -1.679
1.486 -1.074 3.943
Re C Ga Li
1 1 2 1
Direct
0.000 0.500 0.000
0.000 0.000 0.000
0.000 0.000 0.500
0.500 0.000 0.000
0.500 0.500 0.500

Record 8
MnCuTc2N, relaxed, DFT PBE; space-group type = P4/mmm, No. 123; electronic total energy = -8.426 eV per atom
1.0
-2.538 1.623 2.662
2.252 -1.419 3.013
2.051 3.227 -0.012
Mn Tc Cu N
1 2 1 1
Direct
0.000 0.000 0.500
0.000 0.500 0.000
0.500 0.000 0.000
0.500 0.500 0.500
0.000 0.000 0.000

Record 9
SnHgI2, relaxed, DFT PBE; space-group type = P6_3/mmc, No. 194; excess energy over the best structure of this formula in the dataset = 0.01 eV per formula unit
1.0
4.510 0.000 0.000
-2.255 3.906 0.000
0.000 0.000 23.752
Sn Hg I
2 2 4
Direct
0.000 0.000 0.000
0.000 0.000 0.500
0.667 0.333 0.750
0.333 0.667 0.250
0.333 0.667 0.421
0.667 0.333 0.921
0.333 0.667 0.079
0.667 0.333 0.579

Record 10
CaZrBi, relaxed, DFT PBE; space-group type = P4/nmm, No. 129; excess energy over the best structure of this formula in the dataset = 0.00 eV per formula unit
1.0
-0.205 -3.691 2.518
4.211 0.682 1.343
-2.831 4.615 6.534
Ca Bi Zr
2 2 2
Direct
0.000 0.500 0.161
0.500 0.000 0.839
0.000 0.500 0.762
0.500 0.000 0.238
0.000 0.000 0.500
0.500 0.500 0.500

Record 11
La2NbAg, relaxed, DFT PBE; space-group type = I-42d, No. 122; excess energy over the best structure of this formula in the dataset = 0.97 eV per formula unit
1.0
-5.027 2.302 -6.136
-5.523 -5.651 2.405
-6.637 0.475 0.057
Nb Ag La
2 2 4
Direct
0.500 0.500 0.000
0.250 0.750 0.500
0.000 0.000 0.000
0.750 0.250 0.500
0.619 0.125 0.250
0.131 0.625 0.250
0.375 0.381 0.750
0.875 0.869 0.750

Record 12
Tl3PbCl5, relaxed, DFT PBE; space-group type = P2_12_12_1, No. 19; excess energy over the best structure of this formula in the dataset = 0.00 eV per formula unit
1.0
8.388 0.000 0.000
0.000 8.802 0.000
0.000 0.000 15.060
Tl Pb Cl
12 4 20
Direct
0.067 0.582 0.715
0.093 0.667 0.019
0.769 0.704 0.550
0.269 0.796 0.450
0.593 0.833 0.981
0.567 0.918 0.285
0.933 0.082 0.785
0.907 0.167 0.481
0.231 0.204 0.950
0.731 0.296 0.050
0.407 0.333 0.519
0.433 0.418 0.215
0.923 0.546 0.294
0.423 0.954 0.706
0.077 0.046 0.206
0.577 0.454 0.794
0.072 0.497 0.475
0.608 0.554 0.388
0.739 0.655 0.152
0.415 0.649 0.636
0.215 0.711 0.227
0.715 0.789 0.773
0.915 0.851 0.364
0.239 0.845 0.848
0.108 0.946 0.612
0.572 0.003 0.525
0.928 0.997 0.025
0.392 0.054 0.112
0.261 0.155 0.348
0.585 0.149 0.864
0.785 0.211 0.273
0.285 0.289 0.727
0.085 0.351 0.136
0.761 0.345 0.652
0.892 0.446 0.888
0.428 0.503 0.975

Record 13
SiPbC2, relaxed, DFT PBE; space-group type = I-42d, No. 122; excess energy over the best structure of this formula in the dataset = 0.00 eV per formula unit
1.0
4.875 0.000 0.000
0.000 4.875 0.000
2.437 2.437 4.720
Pb Si C
2 2 4
Direct
0.000 0.000 0.000
0.750 0.250 0.500
0.500 0.500 0.000
0.250 0.750 0.500
0.554 0.125 0.250
0.196 0.625 0.250
0.375 0.446 0.750
0.875 0.804 0.750

Record 14
Sc2HS, relaxed, DFT PBE; space-group type = Pmn2_1, No. 31; excess energy over the best structure of this formula in the dataset = 0.00 eV per formula unit
1.0
-0.486 2.102 -2.904
1.301 -2.841 -2.274
-8.231 -3.084 -0.856
Sc H S
4 2 2
Direct
0.299 0.552 0.808
0.299 0.540 0.220
0.799 0.040 0.564
0.799 0.052 0.976
0.799 0.799 0.773
0.299 0.299 0.011
0.799 0.043 0.263
0.299 0.543 0.521

Record 15
Zr2AsPd8, relaxed, DFT PBE; space-group type = Immm, No. 71; electronic total energy = -6.375 eV per atom
1.0
4.677 0.000 0.000
0.000 5.745 -0.173
-2.339 -2.661 6.980
Zr As Pd
2 1 8
Direct
0.811 0.311 0.622
0.189 0.689 0.378
0.500 0.000 0.000
0.366 0.605 0.731
0.634 0.874 0.269
0.811 0.811 0.623
0.000 0.248 0.000
0.189 0.189 0.377
0.366 0.126 0.731
0.634 0.395 0.269
0.000 0.752 0.000

Record 16
Ba3CuAg, relaxed, DFT PBE; space-group type = Pm-3m, No. 221; excess energy over the best structure of this formula in the dataset = 1.16 eV per formula unit
1.0
6.176 0.000 0.000
0.000 6.176 0.000
0.000 0.000 6.176
Cu Ba Ag
1 3 1
Direct
0.000 0.000 0.000
0.000 0.500 0.000
0.000 0.000 0.500
0.500 0.000 0.000
0.500 0.500 0.500

Record 17
CaAuIO2, relaxed, DFT PBE; space-group type = P4/mmm, No. 123; excess energy over the best structure of this formula in the dataset = 0.00 eV per formula unit
1.0
4.308 0.000 0.000
0.000 4.308 0.000
0.000 0.000 7.103
I Ca Au O
1 1 1 2
Direct
0.000 0.000 0.500
0.000 0.000 0.000
0.500 0.500 0.500
0.000 0.500 0.000
0.500 0.000 0.000

Record 18
LiPaBi2, relaxed, DFT PBE; space-group type = P4/mmm, No. 123; excess energy over the best structure of this formula in the dataset = 0.00 eV per formula unit
1.0
-3.273 2.275 -0.593
-0.104 -1.428 -4.907
-2.980 -3.970 1.219
Pa Bi Li
1 2 1
Direct
0.500 0.500 0.500
0.000 0.000 0.500
0.000 0.500 0.000
0.500 0.000 0.000

Record 19
NpCuI6, relaxed, DFT PBE; space-group type = R-3, No. 148; electronic total energy = -3.745 eV per atom
1.0
7.374 0.009 0.012
3.679 6.387 0.014
3.678 2.122 6.673
Np Cu I
1 1 6
Direct
0.500 0.500 0.500
0.000 0.000 0.000
0.100 0.389 0.756
0.754 0.100 0.756
0.611 0.246 0.244
0.246 0.900 0.244
0.900 0.611 0.244
0.389 0.754 0.756

Record 20
LaZnN2, relaxed, DFT PBE; space-group type = I-42d, No. 122; electronic total energy = -5.983 eV per atom
1.0
-0.410 4.086 2.657
2.221 -2.217 3.752
5.800 2.651 1.321
Zn N La
2 4 2
Direct
0.500 0.500 0.000
0.250 0.750 0.500
0.570 0.125 0.250
0.180 0.625 0.250
0.375 0.430 0.750
0.875 0.820 0.750
0.000 0.000 0.000
0.750 0.250 0.500